Entry 1:
DFT (PBE-GGA) results for a relaxed structure of KBe2Tc. Values from VASP.

V in Å³/atom: 22.300
Electronic total energy in eV/cell: -28.84

Cell and atoms, written as Quantum ESPRESSO input:
```
&SYSTEM
  ibrav = 0, nat = 8, ntyp = 3
/
ATOMIC_SPECIES
K 39.10 K.upf
Be 9.01 Be.upf
Tc 98.00 Tc.upf
CELL_PARAMETERS angstrom
-2.379 2.379 7.881
2.379 -2.379 7.881
2.379 2.379 -7.881
ATOMIC_POSITIONS angstrom
K 2.379 1.189 1.970
K 0.000 1.189 5.911
Be 0.000 0.000 0.000
Be 1.189 1.189 -3.941
Be 1.189 -1.189 3.941
Be 0.000 2.379 0.000
Tc 2.379 -1.189 5.911
Tc 0.000 3.568 1.970
```

***

Entry 2:
DFT (PBE-GGA) results for a relaxed structure of BeAl3Ag. Values from VASP.

V in Å³/atom: 22.517
Electronic total energy in eV/cell: -13.19

Cell and atoms, written as Quantum ESPRESSO input:
```
&SYSTEM
  ibrav = 0, nat = 5, ntyp = 3
/
ATOMIC_SPECIES
Be 9.01 Be.upf
Al 26.98 Al.upf
Ag 107.87 Ag.upf
CELL_PARAMETERS angstrom
4.829 0.000 0.000
0.000 4.829 0.000
0.000 0.000 4.829
ATOMIC_POSITIONS angstrom
Be 0.000 0.000 0.000
Al 0.000 2.414 2.414
Al 2.414 0.000 2.414
Al 2.414 2.414 0.000
Ag 2.414 2.414 2.414
```

***

Entry 3:
DFT (PBE-GGA) results for a relaxed structure of MgSiAg. Values from VASP.

Formation energy (no corrections) in eV per formula unit: 0.049
V in Å³/atom: 18.014

Cell and atoms, written as Quantum ESPRESSO input:
```
&SYSTEM
  ibrav = 0, nat = 3, ntyp = 3
/
ATOMIC_SPECIES
Mg 24.30 Mg.upf
Si 28.09 Si.upf
Ag 107.87 Ag.upf
CELL_PARAMETERS angstrom
4.370 0.000 0.000
-2.185 3.785 0.000
0.000 0.000 3.268
ATOMIC_POSITIONS angstrom
Mg 0.000 0.000 0.000
Si 0.000 2.523 1.634
Ag 2.185 1.262 1.634
```

***

Entry 4:
DFT (PBE-GGA) results for a relaxed structure of BeIn2Ni. Values from VASP.

V in Å³/atom: 16.189
Electronic total energy in eV/cell: -13.84

Cell and atoms, written as Quantum ESPRESSO input:
```
&SYSTEM
  ibrav = 0, nat = 4, ntyp = 3
/
ATOMIC_SPECIES
Be 9.01 Be.upf
In 114.82 In.upf
Ni 58.69 Ni.upf
CELL_PARAMETERS angstrom
4.182 0.000 0.000
0.000 4.182 0.000
0.000 0.000 3.703
ATOMIC_POSITIONS angstrom
Be 0.000 0.000 0.000
In 0.000 2.091 1.852
In 2.091 0.000 1.852
Ni 2.091 2.091 0.000
```

***

Entry 5:
DFT (PBE-GGA) results for a relaxed structure of Si2Te. Values from VASP.

Formation energy (no corrections) in eV per formula unit: 0.069
V in Å³/atom: 26.981

Cell and atoms, written as Quantum ESPRESSO input:
```
&SYSTEM
  ibrav = 0, nat = 6, ntyp = 2
/
ATOMIC_SPECIES
Si 28.09 Si.upf
Te 127.60 Te.upf
CELL_PARAMETERS angstrom
2.012 -10.404 0.000
2.012 10.404 0.000
0.000 0.000 3.867
ATOMIC_POSITIONS angstrom
Si 2.012 9.719 2.900
Si 2.012 1.968 0.967
Si 2.012 -1.968 2.900
Si 2.012 -9.719 0.967
Te 2.012 3.627 2.900
Te 2.012 -3.627 0.967
```

***

Entry 6:
DFT (PBE-GGA) results for a relaxed structure of Re2PCl. Values from VASP.

Formation energy (no corrections) in eV per formula unit: 2.680
V in Å³/atom: 15.289

Cell and atoms, written as Quantum ESPRESSO input:
```
&SYSTEM
  ibrav = 0, nat = 4, ntyp = 3
/
ATOMIC_SPECIES
Re 186.21 Re.upf
P 30.97 P.upf
Cl 35.45 Cl.upf
CELL_PARAMETERS angstrom
1.466 -2.564 0.000
1.466 2.564 0.000
0.000 0.000 8.137
ATOMIC_POSITIONS angstrom
Re 0.000 0.000 1.822
Re 0.000 0.000 6.315
P 1.466 0.000 0.000
Cl 1.466 0.000 4.068
```

***

Entry 7:
DFT (PBE-GGA) results for a relaxed structure of Tc3IrF. Values from VASP.

Formation energy (no corrections) in eV per formula unit: 8.411
V in Å³/atom: 21.503

Cell and atoms, written as Quantum ESPRESSO input:
```
&SYSTEM
  ibrav = 0, nat = 5, ntyp = 3
/
ATOMIC_SPECIES
Tc 98.00 Tc.upf
Ir 192.22 Ir.upf
F 19.00 F.upf
CELL_PARAMETERS angstrom
4.755 0.000 0.000
0.000 4.755 0.000
0.000 0.000 4.755
ATOMIC_POSITIONS angstrom
Tc 0.000 0.000 2.378
Tc 0.000 2.378 0.000
Tc 2.378 0.000 0.000
Ir 0.000 0.000 0.000
F 2.378 2.378 2.378
```

***

Entry 8:
DFT (PBE-GGA) results for a relaxed structure of Gd2TmRh. Values from VASP.

V in Å³/atom: 26.631
Electronic total energy in eV/cell: -41.40

Cell and atoms, written as Quantum ESPRESSO input:
```
&SYSTEM
  ibrav = 0, nat = 4, ntyp = 3
/
ATOMIC_SPECIES
Gd 157.25 Gd.upf
Tm 168.93 Tm.upf
Rh 102.91 Rh.upf
CELL_PARAMETERS angstrom
3.543 0.000 0.000
0.000 3.543 0.000
0.000 0.000 8.488
ATOMIC_POSITIONS angstrom
Gd 0.000 0.000 1.630
Gd 0.000 0.000 6.858
Tm 1.771 1.771 4.244
Rh 1.771 1.771 0.000
```

***

Entry 9:
DFT (PBE-GGA) results for a relaxed structure of RbCoSeBr2. Values from VASP.

Formation energy (no corrections) in eV per formula unit: 4.357
V in Å³/atom: 48.523

Cell and atoms, written as Quantum ESPRESSO input:
```
&SYSTEM
  ibrav = 0, nat = 5, ntyp = 4
/
ATOMIC_SPECIES
Rb 85.47 Rb.upf
Co 58.93 Co.upf
Se 78.96 Se.upf
Br 79.90 Br.upf
CELL_PARAMETERS angstrom
6.283 0.000 0.000
0.000 6.283 0.000
0.000 0.000 6.146
ATOMIC_POSITIONS angstrom
Rb 0.000 0.000 0.000
Co 3.142 3.142 3.073
Se 0.000 0.000 3.073
Br 0.000 3.142 0.000
Br 3.142 0.000 0.000
```

***

Entry 10:
DFT (PBE-GGA) results for a relaxed structure of Ca2PrAg2Sn2. Values from VASP.

V in Å³/atom: 27.470
Electronic total energy in eV/cell: -25.89

Cell and atoms, written as Quantum ESPRESSO input:
```
&SYSTEM
  ibrav = 0, nat = 7, ntyp = 4
/
ATOMIC_SPECIES
Ca 40.08 Ca.upf
Pr 140.91 Pr.upf
Ag 107.87 Ag.upf
Sn 118.71 Sn.upf
CELL_PARAMETERS angstrom
2.436 1.406 9.357
-2.436 1.406 9.357
0.000 -2.812 9.357
ATOMIC_POSITIONS angstrom
Ca 0.000 0.000 3.611
Ca 0.000 0.000 24.460
Pr 0.000 0.000 0.000
Ag 0.000 0.000 11.277
Ag 0.000 0.000 16.794
Sn 0.000 0.000 7.280
Sn 0.000 0.000 20.791
```

***

Entry 11:
DFT (PBE-GGA) results for a relaxed structure of RbBaSr2H. Values from VASP.

V in Å³/atom: 45.573
Electronic total energy in eV/cell: -9.40

Cell and atoms, written as Quantum ESPRESSO input:
```
&SYSTEM
  ibrav = 0, nat = 5, ntyp = 4
/
ATOMIC_SPECIES
Rb 85.47 Rb.upf
Ba 137.33 Ba.upf
Sr 87.62 Sr.upf
H 1.01 H.upf
CELL_PARAMETERS angstrom
5.868 0.000 0.000
0.000 5.868 0.000
0.000 0.000 6.618
ATOMIC_POSITIONS angstrom
Rb 0.000 0.000 0.000
Ba 2.934 2.934 0.000
Sr 0.000 2.934 3.309
Sr 2.934 0.000 3.309
H 0.000 0.000 3.309
```

***

Entry 12:
DFT (PBE-GGA) results for a relaxed structure of Ta3WI. Values from VASP.

Formation energy (no corrections) in eV per formula unit: 12.770
V in Å³/atom: 23.461

Cell and atoms, written as Quantum ESPRESSO input:
```
&SYSTEM
  ibrav = 0, nat = 5, ntyp = 3
/
ATOMIC_SPECIES
Ta 180.95 Ta.upf
W 183.84 W.upf
I 126.90 I.upf
CELL_PARAMETERS angstrom
4.895 0.000 0.000
0.000 4.895 0.000
0.000 0.000 4.895
ATOMIC_POSITIONS angstrom
Ta 0.000 0.000 2.448
Ta 0.000 2.448 0.000
Ta 2.448 0.000 0.000
W 2.448 2.448 2.448
I 0.000 0.000 0.000
```

***

Entry 13:
DFT (PBE-GGA) results for a relaxed structure of K3Pa2Se5Cl2. Values from VASP.

Formation energy (no corrections) in eV per formula unit: -18.255
V in Å³/atom: 34.702

Cell and atoms, written as Quantum ESPRESSO input:
```
&SYSTEM
  ibrav = 0, nat = 12, ntyp = 4
/
ATOMIC_SPECIES
K 39.10 K.upf
Pa 231.04 Pa.upf
Se 78.96 Se.upf
Cl 35.45 Cl.upf
CELL_PARAMETERS angstrom
-2.784 2.784 13.433
2.784 -2.784 13.433
2.784 2.784 -13.433
ATOMIC_POSITIONS angstrom
K 0.000 0.000 0.000
K 0.000 0.000 4.816
K 0.000 0.000 22.049
Pa 0.000 0.000 10.678
Pa 0.000 0.000 16.187
Se 2.784 0.000 2.790
Se 2.784 0.000 10.643
Se 0.000 0.000 13.433
Se 0.000 2.784 2.790
Se 0.000 2.784 10.643
Cl 0.000 0.000 7.965
Cl 0.000 0.000 18.900
```